Entry 1:
## Ba2LaW (PBE-GGA)

Data for an optimized crystal structure of Ba2LaW.

Summary:
total moment	0.0	μB per cell
electronic total energy	-0.1726	Ha/atom
symmetry	No. 99

Unit cell a=3.8504 b=3.8504 c=10.2410 alpha=90.00 beta=90.00 gamma=90.00
With the nearest neighbours (Å) after each atom.
Element x y z (fractional)
1 Ba 0.0000 0.0000 0.0000  4 W 3.51, 1 La 3.57, 4 Ba 3.85
2 Ba 0.5000 0.5000 0.3665  4 Ba 3.85, 4 La 3.99, 1 W 4.28
3 La 0.0000 0.0000 0.6516  4 W 3.04
4 W 0.5000 0.5000 0.7842  4 La 3.04

Entry 2:
## BaTb4TmSe8 (PBE-GGA)

Data for an optimized crystal structure of BaTb4TmSe8.

Summary:
total moment	0.0	μB per cell
electronic total energy	-0.2037	Ha/atom
symmetry	No. 160

Unit cell a=8.5937 b=8.5937 c=8.5937 alpha=60.33 beta=60.33 gamma=60.33
With the nearest neighbours (Å) after each atom.
Element x y z (fractional)
1 Ba 0.0000 0.0000 0.0000  4 Se 3.00-3.01
2 Tb 0.1187 0.6254 0.6254  6 Se 2.84-2.99
3 Tb 0.2483 0.2483 0.2483  4 Se 2.78-2.80
4 Tb 0.6254 0.1187 0.6254  6 Se 2.84-2.99
5 Tb 0.6254 0.6254 0.1187  6 Se 2.84-2.99
6 Tm 0.6252 0.6252 0.6252  6 Se 2.79-2.94
7 Se 0.3807 0.3807 0.3807  4 Tb 2.78-2.99
8 Se 0.3837 0.3837 0.8503  3 Tb 2.80-2.99, 1 Tm 2.94
9 Se 0.3837 0.8503 0.3837  3 Tb 2.80-2.99, 1 Tm 2.94
10 Se 0.4264 0.8536 0.8536  1 Tm 2.79, 2 Tb 2.84, 1 Ba 3.01
11 Se 0.8503 0.3837 0.3837  3 Tb 2.80-2.99, 1 Tm 2.94
12 Se 0.8536 0.4264 0.8536  1 Tm 2.79, 2 Tb 2.84, 1 Ba 3.01
13 Se 0.8536 0.8536 0.4264  1 Tm 2.79, 2 Tb 2.84, 1 Ba 3.01
14 Se 0.8571 0.8571 0.8571  3 Tb 2.84, 1 Ba 3.00

Entry 3:
## DyH2W (PBE-GGA)

Data for an optimized crystal structure of DyH2W.

Summary:
total moment	0.0	μB per cell
electronic total energy	-0.2180	Ha/atom
symmetry	No. 166

Unit cell a=3.3955 b=3.3955 c=15.3165 alpha=90.00 beta=90.00 gamma=120.00
With the nearest neighbours (Å) after each atom.
Element x y z (fractional)
1 Dy 0.0000 0.0000 0.0000  6 H 2.10
2 Dy 0.3333 0.6667 0.6667  6 H 2.10
3 Dy 0.6667 0.3333 0.3333  6 H 2.10
4 H 0.0000 0.0000 0.3829  1 W 1.79
5 H 0.0000 0.0000 0.6171  1 W 1.79
6 H 0.3333 0.6667 0.0496  1 W 1.79
7 H 0.3333 0.6667 0.2838  1 W 1.79
8 H 0.6667 0.3333 0.7162  1 W 1.79
9 H 0.6667 0.3333 0.9504  1 W 1.79
10 W 0.0000 0.0000 0.5000  2 H 1.79
11 W 0.3333 0.6667 0.1667  2 H 1.79
12 W 0.6667 0.3333 0.8333  2 H 1.79

Entry 4:
## La8Os3PtI3 (PBE-GGA)

Data for an optimized crystal structure of La8Os3PtI3.

Summary:
total moment	0.5	μB per cell
electronic total energy	-0.2313	Ha/atom
symmetry	No. 2

Unit cell a=8.5209 b=8.5259 c=9.5548 alpha=63.57 beta=63.54 gamma=60.04
With the nearest neighbours (Å) after each atom.
Element x y z (fractional)
1 La 0.2160 0.2329 0.3176  2 Os 2.84-2.85, 1 Pt 2.95
2 La 0.2290 0.7287 0.3134  3 Os 2.90
3 La 0.2665 0.2838 0.6830  2 Os 2.85, 1 Pt 2.95
4 La 0.2666 0.7666 0.6827  2 Os 2.85, 1 Pt 2.95
5 La 0.7334 0.2334 0.3173  2 Os 2.85, 1 Pt 2.95
6 La 0.7335 0.7162 0.3170  2 Os 2.85, 1 Pt 2.95
7 La 0.7710 0.2713 0.6866  3 Os 2.90
8 La 0.7840 0.7671 0.6824  2 Os 2.84-2.85, 1 Pt 2.95
9 Os 0.0000 0.0000 0.5000  6 La 2.84-2.90
10 Os 0.0000 0.5000 0.5000  6 La 2.85-2.90
11 Os 0.5000 0.5000 0.5000  6 La 2.85-2.90
12 Pt 0.5000 0.0000 0.5000  6 La 2.95
13 I 0.0000 0.0000 0.0000  6 La 3.56-3.61
14 I 0.5000 0.0000 0.0000  6 La 3.56-3.61
15 I 0.5000 0.5000 0.0000  6 La 3.55-3.61

Entry 5:
## As3Br (PBE-GGA)

Data for an optimized crystal structure of As3Br.

Summary:
total moment	0.0	μB per cell
electronic total energy	-0.1150	Ha/atom
symmetry	No. 223

Unit cell a=5.5323 b=5.5323 c=5.5323 alpha=90.00 beta=90.00 gamma=90.00
With the nearest neighbours (Å) after each atom.
Element x y z (fractional)
1 As 0.0000 0.2500 0.5000  2 As 2.77, 4 Br 3.09
2 As 0.0000 0.7500 0.5000  2 As 2.77, 4 Br 3.09
3 As 0.2500 0.5000 0.0000  2 As 2.77, 4 Br 3.09
4 As 0.5000 0.0000 0.2500  2 As 2.77, 4 Br 3.09
5 As 0.5000 0.0000 0.7500  2 As 2.77, 4 Br 3.09
6 As 0.7500 0.5000 0.0000  2 As 2.77, 4 Br 3.09
7 Br 0.0000 0.0000 0.0000  12 As 3.09
8 Br 0.5000 0.5000 0.5000  12 As 3.09

Entry 6:
## Ca2Sn2Se (PBE-GGA)

Data for an optimized crystal structure of Ca2Sn2Se.

Summary:
total moment	0.0	μB per cell
electronic total energy	-0.1397	Ha/atom
symmetry	No. 127

Unit cell a=7.8477 b=7.8477 c=4.9411 alpha=90.00 beta=90.00 gamma=90.00
With the nearest neighbours (Å) after each atom.
Element x y z (fractional)
1 Ca 0.1791 0.3209 0.0000  2 Se 2.88
2 Ca 0.3209 0.8209 0.0000  2 Se 2.88
3 Ca 0.6791 0.1791 0.0000  2 Se 2.88
4 Ca 0.8209 0.6791 0.0000  2 Se 2.88
5 Sn 0.1258 0.6258 0.5000  1 Sn 2.79
6 Sn 0.3742 0.1258 0.5000  1 Sn 2.79
7 Sn 0.6258 0.8742 0.5000  1 Sn 2.79
8 Sn 0.8742 0.3742 0.5000  1 Sn 2.79
9 Se 0.0000 0.0000 0.0000  4 Ca 2.88
10 Se 0.5000 0.5000 0.0000  4 Ca 2.88

Which formula does entry 5 have?
As3Br